(1)
TaTlBr2 | PBE-GGA | relaxed

a b c (Å): 5.948 5.948 9.082
angles (deg): 70.88 70.88 90.00
Fractional coordinates of all 8 atoms:
Tl 0.750 0.250 0.500
Tl 0.000 0.000 0.000
Br 0.521 0.125 0.250
Br 0.875 0.771 0.750
Br 0.375 0.479 0.750
Br 0.229 0.625 0.250
Ta 0.250 0.750 0.500
Ta 0.500 0.500 0.000

Properties
relative energy among the computed polymorphs = 15.345 kcal/mol of atoms
E_form (uncorrected) = 0.460 eV/atom
DOS(E_F) = 2.51 states/eV/f.u.
space group = I-42d

=====

(2)
CoReAs2 | PBE-GGA | relaxed

a b c (Å): 3.243 3.243 5.528
angles (deg): 90.00 90.00 90.00
Fractional coordinates of all 4 atoms:
As 0.000 0.000 0.976
As 0.500 0.500 0.320
Re 0.500 0.500 0.775
Co 0.000 0.000 0.430

Properties
relative energy among the computed polymorphs = 1.120 kcal/mol of atoms
energy of formation from the pure elements = 0.13 eV/atom
DOS(E_F) = 3.49 states/eV/f.u.
space group = P4mm

=====

(3)
Pm3ErTh2Se6 | PBE-GGA | relaxed

a b c (Å): 4.165 8.375 9.333
angles (deg): 102.81 102.89 90.00
Fractional coordinates of all 12 atoms:
Th 0.169 0.340 0.339
Th 0.831 0.660 0.661
Se 0.000 0.239 0.999
Se 0.662 0.081 0.324
Se 0.664 0.587 0.329
Se 0.338 0.919 0.676
Se 0.000 0.761 0.001
Se 0.336 0.413 0.671
Pm 0.500 0.500 0.000
Pm 0.830 0.167 0.661
Pm 0.170 0.833 0.339
Er 0.500 0.000 0.000

Properties
E_form (uncorrected) = -1.701 eV/atom
DOS(E_F) = 7.18 states/eV/f.u.
space group = C2/m

=====

(4)
NaScSF2 | PBE-GGA | relaxed

a b c (Å): 4.125 4.125 5.088
angles (deg): 90.00 90.00 90.00
Fractional coordinates of all 5 atoms:
F 0.000 0.500 0.000
F 0.500 0.000 0.000
S 0.000 0.000 0.500
Sc 0.000 0.000 0.000
Na 0.500 0.500 0.500

Properties
E_form (uncorrected) = -2.771 eV/atom
DOS(E_F) = 0.00 states/eV/f.u.
space group = P4/mmm

=====

(5)
Tb5PtRh4 | PBE-GGA | relaxed

a b c (Å): 3.432 3.432 17.510
angles (deg): 90.00 90.00 90.00
Fractional coordinates of all 10 atoms:
Tb 0.500 0.500 0.897
Tb 0.500 0.500 0.500
Tb 0.500 0.500 0.301
Tb 0.500 0.500 0.103
Tb 0.500 0.500 0.699
Rh 0.000 0.000 0.201
Rh 0.000 0.000 0.600
Rh 0.000 0.000 0.799
Rh 0.000 0.000 0.400
Pt 0.000 0.000 0.000

Properties
energy of formation from the pure elements = -0.92 eV/atom
DOS(E_F) = 5.79 states/eV/f.u.
space group = P4/mmm

=====

(6)
NaAcPmMg | PBE-GGA | relaxed

a b c (Å): 5.778 5.778 5.778
angles (deg): 60.00 60.00 60.00
Fractional coordinates of all 4 atoms:
Mg 0.500 0.500 0.500
Na 0.000 0.000 0.000
Ac 0.250 0.250 0.250
Pm 0.750 0.750 0.750

Properties
energy of formation from the pure elements = 0.13 eV/atom
DOS(E_F) = 6.09 states/eV/f.u.
space group = F-43m